VASP calculation (SCAN) on a crystal of TiFeGe relaxed with PBEsol.

Unit cell a=7.1581 b=7.1581 c=7.1581 alpha=121.48 beta=82.12 gamma=127.95
Last column: nearest neighbours and their distance in Å.
Element x y z (fractional)
1 Ti 0.0021 0.2500 0.2521  5 Ge 2.54-2.60, 4 Fe 2.72-2.75
2 Ti 0.1169 0.0964 0.5205  5 Ge 2.55-2.60, 2 Fe 2.72
3 Ti 0.1929 0.6372 0.0556  5 Ge 2.57-2.78, 6 Fe 2.61-2.75
4 Ti 0.5759 0.5964 0.4795  5 Ge 2.55-2.60, 2 Fe 2.72
5 Ti 0.5816 0.1372 0.9444  5 Ge 2.57-2.78, 6 Fe 2.61-2.75
6 Ti 0.9979 0.7500 0.7479  5 Ge 2.54-2.60, 4 Fe 2.72-2.75
7 Fe 0.3377 0.3377 0.0000  4 Ge 2.39-2.42
8 Fe 0.3377 0.8377 0.5000  4 Ge 2.39-2.42
9 Fe 0.5835 0.1682 0.3390  4 Ge 2.35-2.41, 1 Ti 2.61
10 Fe 0.5835 0.7445 0.9153  4 Ge 2.35-2.41, 1 Ti 2.61
11 Fe 0.8291 0.2445 0.6610  4 Ge 2.35-2.41, 1 Ti 2.61
12 Fe 0.8291 0.6682 0.0847  4 Ge 2.35-2.41, 1 Ti 2.61
13 Ge 0.2482 0.0732 0.1594  3 Fe 2.41-2.42, 6 Ti 2.54-2.59
14 Ge 0.2482 0.5888 0.6750  3 Fe 2.41-2.42, 6 Ti 2.54-2.59
15 Ge 0.5557 0.3402 0.7155  6 Fe 2.35-2.39, 2 Ti 2.60
16 Ge 0.6248 0.8402 0.2845  6 Fe 2.35-2.39, 2 Ti 2.60
17 Ge 0.9138 0.0888 0.8406  3 Fe 2.41-2.42, 6 Ti 2.54-2.59
18 Ge 0.9138 0.5732 0.3250  3 Fe 2.41-2.42, 6 Ti 2.54-2.59

Output
total DFT energy (no corrections)	-329.861	eV/cell
calculated formation energy	-0.58	eV per atom
space group	Ima2
DOS at the Fermi energy	4.85	states/eV per cell

***

VASP calculation (SCAN) on a crystal of TiFe6Ge6 relaxed with PBEsol.

Unit cell a=4.9121 b=4.9121 c=7.8791 alpha=90.00 beta=90.00 gamma=120.00
Last column: nearest neighbours and their distance in Å.
Element x y z (fractional)
1 Ti 0.0000 0.0000 0.0000  8 Ge 2.65-2.84
2 Fe 0.0000 0.5000 0.2485  6 Ge 2.42-2.55, 4 Fe 2.46
3 Fe 0.0000 0.5000 0.7515  6 Ge 2.42-2.55, 4 Fe 2.46
4 Fe 0.5000 0.0000 0.2485  6 Ge 2.42-2.55, 4 Fe 2.46
5 Fe 0.5000 0.0000 0.7515  6 Ge 2.42-2.55, 4 Fe 2.46
6 Fe 0.5000 0.5000 0.2485  6 Ge 2.42-2.55, 4 Fe 2.46
7 Fe 0.5000 0.5000 0.7515  6 Ge 2.42-2.55, 4 Fe 2.46
8 Ge 0.0000 0.0000 0.3361  6 Fe 2.55, 1 Ge 2.58, 1 Ti 2.65
9 Ge 0.0000 0.0000 0.6639  6 Fe 2.55, 1 Ge 2.58, 1 Ti 2.65
10 Ge 0.3333 0.6667 0.0000  6 Fe 2.42
11 Ge 0.3333 0.6667 0.5000  6 Fe 2.44
12 Ge 0.6667 0.3333 0.0000  6 Fe 2.42
13 Ge 0.6667 0.3333 0.5000  6 Fe 2.44

Output
total DFT energy (no corrections)	-242.408	eV/cell
calculated formation energy	-0.24	eV per atom
space group	P6/mmm
DOS at the Fermi energy	6.86	states/eV per cell

***

Calculated volume per entry: 237.2; 164.6 Å³ per cell